Entry 1:
CsNpP2O8 after structural relaxation. Source: Alexandria, functional PBE.

Lattice parameters (Å, degrees): 5.3024 5.3024 27.5691 90.00 90.00 120.00
Space group R-3 (No. 148, hexagonal axes)
Symmetry-distinct sites (fractional):
Cs: 0.0000 0.0000 0.0000
Np: 0.0000 0.0000 0.5000
P: 0.0000 0.0000 0.2343
O: 0.0000 0.0000 0.2886
O: 0.0328 0.6031 0.8790

Computed properties:
* ΔE_f (raw): -2470 meV/atom
* total energy: -7.83 eV per atom



Entry 2:
SbAu2Se2 after structural relaxation. Source: Alexandria, functional PBE.

Lattice parameters (Å, degrees): 7.940 7.940 3.591 90.00 90.00 90.00
Space group P4/mbm (No. 127)
Symmetry-distinct sites (fractional):
Sb: 0.000 0.000 0.000
Au: 0.122 0.378 0.500
Se: 0.198 0.698 0.000

Computed properties:
* ΔE_f (raw): 206 meV/atom
* ΔE to the lowest computed polymorph: 100 meV/atom
* total energy: -3.32 eV per atom



Entry 3:
NaSnI2 after structural relaxation. Source: Alexandria, functional PBE.

Lattice parameters (Å, degrees): 4.075 8.875 8.231 90.00 90.00 90.00
Space group Imm2 (No. 44)
Symmetry-distinct sites (fractional):
Na: 0.000 0.000 0.000
Sn: 0.000 0.500 0.082
I: 0.000 0.256 0.343

Computed properties:
* ΔE_f (raw): -573 meV/atom
* ΔE to the lowest computed polymorph: 122 meV/atom
* total energy: -2.68 eV per atom



Entry 4:
Pu2ZnSi after structural relaxation. Source: Alexandria, functional PBE.

Lattice parameters (Å, degrees): 3.588 3.588 4.867 90.00 90.00 90.00
Space group P4/mmm (No. 123)
Symmetry-distinct sites (fractional):
Pu: 0.000 0.500 0.000
Zn: 0.000 0.000 0.500
Si: 0.500 0.500 0.500

Computed properties:
* ΔE_f (raw): 129 meV/atom
* total energy: -8.71 eV per atom



Entry 5:
PmCuP2 after structural relaxation. Source: Alexandria, functional PBE.

Lattice parameters (Å, degrees): 4.307 4.307 3.888 90.00 90.00 90.00
Space group P4/mmm (No. 123)
Symmetry-distinct sites (fractional):
Pm: 0.000 0.000 0.000
Cu: 0.500 0.500 0.000
P: 0.000 0.500 0.500

Computed properties:
* DFT formation energy: -0.40 eV/atom
* ΔE to the lowest computed polymorph: 465 meV/atom
* total energy: -5.32 eV per atom



Entry 6:
Er2Pd7Pt2 after structural relaxation. Source: Alexandria, functional PBE.

Lattice parameters (Å, degrees): 9.343 9.160 5.089 90.00 116.84 90.00
Space group C2/m (No. 12)
Symmetry-distinct sites (fractional):
Er: 0.000 0.203 0.000
Pd: 0.000 0.000 0.500
Pd: 0.102 0.500 0.347
Pd: 0.172 0.245 0.673
Pt: 0.239 0.500 0.966

Computed properties:
* DFT formation energy: -0.57 eV/atom
* total energy: -5.80 eV per atom



Entry 7:
Ta2CdP2 after structural relaxation. Source: Alexandria, functional PBE.

Lattice parameters (Å, degrees): 7.198 7.198 3.151 90.00 90.00 90.00
Space group P4/mbm (No. 127)
Symmetry-distinct sites (fractional):
Ta: 0.148 0.352 0.000
Cd: 0.000 0.000 0.500
P: 0.140 0.640 0.500

Computed properties:
* DFT formation energy: -0.24 eV/atom
* total energy: -7.33 eV per atom



Entry 8:
LiHfNi after structural relaxation. Source: Alexandria, functional PBE.

Lattice parameters (Å, degrees): 6.071 6.540 10.268 90.00 90.00 90.00
Space group Fmmm (No. 69)
Symmetry-distinct sites (fractional):
Li: 0.000 0.169 0.000
Hf: 0.250 0.250 0.250
Ni: 0.000 0.000 0.382

Computed properties:
* DFT formation energy: -0.04 eV/atom
* total energy: -5.92 eV per atom



Entry 9:
CaPtSe after structural relaxation. Source: Alexandria, functional PBE.

Lattice parameters (Å, degrees): 5.090 4.039 6.749 90.00 90.93 90.00
Space group Pm (No. 6)
Symmetry-distinct sites (fractional):
Ca: 0.000 0.000 0.000
Ca: 0.472 0.000 0.447
Pt: 0.549 0.500 0.075
Pt: 0.801 0.500 0.702
Se: 0.302 0.500 0.760
Se: 0.901 0.500 0.331

Computed properties:
* ΔE_f (raw): -1016 meV/atom
* total energy: -4.86 eV per atom



Entry 10:
In2FeSbBr after structural relaxation. Source: Alexandria, functional PBE.

Lattice parameters (Å, degrees): 5.164 5.164 4.709 90.00 90.00 90.00
Space group P4/mmm (No. 123)
Symmetry-distinct sites (fractional):
In: 0.000 0.500 0.000
Fe: 0.000 0.000 0.000
Sb: 0.000 0.000 0.500
Br: 0.500 0.500 0.500

Computed properties:
* ΔE_f (raw): -158 meV/atom
* ΔE to the lowest computed polymorph: 0 meV/atom
* total energy: -4.10 eV per atom



Entry 11:
Ce2ZnTc2 after structural relaxation. Source: Alexandria, functional PBE.

Lattice parameters (Å, degrees): 10.390 5.063 8.404 90.00 108.19 90.00
Space group C2/c (No. 15)
Symmetry-distinct sites (fractional):
Ce: 0.152 0.108 0.131
Zn: 0.000 0.408 0.750
Tc: 0.135 0.331 0.536

Computed properties:
* DFT formation energy: -0.16 eV/atom
* ΔE to the lowest computed polymorph: 0 meV/atom
* total energy: -6.94 eV per atom



Entry 12:
Pm14NdHo after structural relaxation. Source: Alexandria, functional PBE.

Lattice parameters (Å, degrees): 10.290 10.315 10.315 90.00 90.00 90.00
Space group Amm2 (No. 38)
Symmetry-distinct sites (fractional):
Pm: 0.000 0.000 0.000
Pm: 0.000 0.000 0.499
Pm: 0.000 0.250 0.250
Pm: 0.251 0.000 0.251
Pm: 0.251 0.000 0.749
Pm: 0.251 0.249 0.500
Pm: 0.500 0.250 0.250
Nd: 0.500 0.000 0.999
Ho: 0.500 0.000 0.500

Computed properties:
* DFT formation energy: 0.01 eV/atom
* total energy: -4.73 eV per atom



Entry 13:
BaLi2Ir after structural relaxation. Source: Alexandria, functional PBE.

Lattice parameters (Å, degrees): 6.863 6.863 6.863 90.00 90.00 90.00
Space group Fm-3m (No. 225)
Symmetry-distinct sites (fractional):
Ba: 0.000 0.000 0.000
Li: 0.250 0.250 0.250
Ir: 0.000 0.000 0.500

Computed properties:
* DFT formation energy: 0.12 eV/atom
* ΔE to the lowest computed polymorph: 92 meV/atom
* total energy: -3.53 eV per atom